## Zr2SbSe (GGA-PBE)

Data for a relaxed Zr2SbSe crystal.

Cell: 3.834 3.834 7.436 Å, 75.06 75.06 60.00°
Fractional positions:
Zr 0.076 0.076 0.773
Zr 0.258 0.258 0.225
Sb 0.500 0.500 0.501
Se 0.667 0.667 0.000

Calculated values
Formation energy (no corrections) in meV per atom: -877.1
Symmetry: R3m (160)
Fermi-level density of states in states/eV/f.u.: 3.3
Total energy in eV per formula unit: -28.21